1.
A geometry-optimized ZnGeC2F structure, computed with PBE.

Results
Energy relative to the elements, uncorrected (kJ per mole of atoms): 193.48
Electronic total energy (eV/atom): -3.2368

```
data_ZnGeC2F
_chemical_formula_sum 'Zn1 Ge1 C2 F1'
_cell_length_a 4.1857
_cell_length_b 4.1857
_cell_length_c 3.8215
_cell_angle_alpha 90.00
_cell_angle_beta 90.00
_cell_angle_gamma 90.00
_symmetry_space_group_name_H-M 'P 4/m m m'
_symmetry_Int_Tables_number 123
_symmetry_space_group_name_Hall '-P 4 2'
loop_
_atom_site_label
_atom_site_type_symbol
_atom_site_fract_x
_atom_site_fract_y
_atom_site_fract_z
_atom_site_occupancy
Zn1 Zn 0.0000 0.0000 0.0000 1
Ge1 Ge 0.5000 0.5000 0.0000 1
C1 C 0.0000 0.5000 0.5000 1
F1 F 0.0000 0.0000 0.5000 1
```

2.
A geometry-optimized HoH8C2O8F structure, computed with PBE.

Results
Electronic total energy (eV/atom): -6.0682

```
data_HoH8C2O8F
_chemical_formula_sum 'Ho4 H32 C8 O32 F4'
_cell_length_a 12.2053
_cell_length_b 11.3615
_cell_length_c 8.3092
_cell_angle_alpha 90.00
_cell_angle_beta 130.96
_cell_angle_gamma 90.00
_symmetry_space_group_name_H-M 'C 1 2/c 1'
_symmetry_Int_Tables_number 15
loop_
_symmetry_equiv_pos_as_xyz
'x,y,z'
'-x,-y,-z'
'-x,y,-z+1/2'
'x,-y,z+1/2'
'x+1/2,y+1/2,z'
'-x+1/2,-y+1/2,-z'
'-x+1/2,y+1/2,-z+1/2'
'x+1/2,-y+1/2,z+1/2'
loop_
_atom_site_label
_atom_site_type_symbol
_atom_site_fract_x
_atom_site_fract_y
_atom_site_fract_z
_atom_site_occupancy
Ho1 Ho 0.0000 0.0637 0.2500 1
H1 H 0.0251 0.3175 0.9909 1
H2 H 0.1158 0.2423 0.9600 1
H3 H 0.2150 0.0888 0.1141 1
H4 H 0.2326 0.3967 0.0197 1
C1 C 0.2149 0.2786 0.5414 1
O1 O 0.0990 0.2322 0.4816 1
O2 O 0.1089 0.3219 0.9989 1
O3 O 0.1822 0.0844 0.9693 1
O4 O 0.2208 0.1324 0.3389 1
F1 F 0.0000 0.0000 0.0000 1
```

3.
A geometry-optimized H3PbCI3NF3 structure, computed with PBE.

Results
Electronic total energy (eV/atom): -4.3051

```
data_H3PbCI3NF3
_chemical_formula_sum 'H3 Pb1 C1 I3 N1 F3'
_cell_length_a 6.5862
_cell_length_b 6.4593
_cell_length_c 6.6506
_cell_angle_alpha 90.00
_cell_angle_beta 90.34
_cell_angle_gamma 90.00
_symmetry_space_group_name_H-M 'P 1 m 1'
_symmetry_Int_Tables_number 6
loop_
_symmetry_equiv_pos_as_xyz
'x,y,z'
'x,-y,z'
loop_
_atom_site_label
_atom_site_type_symbol
_atom_site_fract_x
_atom_site_fract_y
_atom_site_fract_z
_atom_site_occupancy
H1 H 0.0000 0.0000 0.0000 1
H2 H 0.2183 0.1340 0.9671 1
Pb1 Pb 0.6958 0.5000 0.7089 1
C1 C 0.1979 0.0000 0.2536 1
I1 I 0.2079 0.5000 0.7984 1
I2 I 0.6730 0.5000 0.2652 1
I3 I 0.6914 0.0000 0.7883 1
N1 N 0.1579 0.0000 0.0337 1
F1 F 0.1144 0.1700 0.3341 1
F2 F 0.3985 0.0000 0.2861 1
```

4.
A geometry-optimized K2H3CO4F structure, computed with PBE.

Results
Electronic total energy (eV/atom): -5.5590

```
data_K2H3CO4F
_chemical_formula_sum 'K4 H6 C2 O8 F2'
_cell_length_a 5.4982
_cell_length_b 7.3384
_cell_length_c 7.5475
_cell_angle_alpha 90.00
_cell_angle_beta 104.77
_cell_angle_gamma 90.00
_symmetry_space_group_name_H-M 'P 1 21/m 1'
_symmetry_Int_Tables_number 11
loop_
_symmetry_equiv_pos_as_xyz
'x,y,z'
'-x,-y,-z'
'-x,y+1/2,-z'
'x,-y+1/2,z'
loop_
_atom_site_label
_atom_site_type_symbol
_atom_site_fract_x
_atom_site_fract_y
_atom_site_fract_z
_atom_site_occupancy
K1 K 0.1994 0.0022 0.2649 1
H1 H 0.2891 0.2500 0.8577 1
H2 H 0.2945 0.2500 0.6481 1
H3 H 0.3222 0.7500 0.6127 1
C1 C 0.3174 0.7500 0.8738 1
O1 O 0.1749 0.7500 0.9819 1
O2 O 0.1789 0.2500 0.7296 1
O3 O 0.1938 0.7500 0.6904 1
O4 O 0.4434 0.2500 0.0845 1
F1 F 0.4984 0.7500 0.4891 1
```

5.
A geometry-optimized H12OsC4NO3F3 structure, computed with PBE.

Results
Electronic total energy (eV/atom): -5.4859

```
data_H12OsC4NO3F3
_chemical_formula_sum 'H96 Os8 C32 N8 O24 F24'
_cell_length_a 16.8370
_cell_length_b 13.9132
_cell_length_c 11.7941
_cell_angle_alpha 90.00
_cell_angle_beta 134.40
_cell_angle_gamma 90.00
_symmetry_space_group_name_H-M 'C 1 2/c 1'
_symmetry_Int_Tables_number 15
loop_
_symmetry_equiv_pos_as_xyz
'x,y,z'
'-x,-y,-z'
'-x,y,-z+1/2'
'x,-y,z+1/2'
'x+1/2,y+1/2,z'
'-x+1/2,-y+1/2,-z'
'-x+1/2,y+1/2,-z+1/2'
'x+1/2,-y+1/2,z+1/2'
loop_
_atom_site_label
_atom_site_type_symbol
_atom_site_fract_x
_atom_site_fract_y
_atom_site_fract_z
_atom_site_occupancy
H1 H 0.0053 0.1774 0.3843 1
H2 H 0.0113 0.3858 0.6308 1
H3 H 0.0308 0.3911 0.1579 1
H4 H 0.0456 0.1726 0.6788 1
H5 H 0.0964 0.2970 0.9958 1
H6 H 0.1126 0.2675 0.4999 1
H7 H 0.1137 0.3906 0.9098 1
H8 H 0.1193 0.1742 0.4007 1
H9 H 0.1260 0.3899 0.3706 1
H10 H 0.1268 0.1752 0.8871 1
H11 H 0.1354 0.2991 0.2713 1
H12 H 0.1476 0.2659 0.8006 1
Os1 Os 0.2059 0.0435 0.2095 1
C1 C 0.0537 0.3436 0.8921 1
C2 C 0.0644 0.2211 0.3951 1
C3 C 0.0794 0.3456 0.2637 1
C4 C 0.0868 0.2192 0.7818 1
N1 N 0.0000 0.2812 0.7500 1
N2 N 0.0000 0.2833 0.2500 1
O1 O 0.0779 0.0526 0.0150 1
O2 O 0.1674 0.0494 0.3124 1
O3 O 0.2338 0.0778 0.7218 1
F1 F 0.1368 0.4358 0.5866 1
F2 F 0.2139 0.1874 0.2174 1
F3 F 0.2218 0.4314 0.8671 1
```

6.
A geometry-optimized H12OsC4NO4F structure, computed with PBE.

Results
Electronic total energy (eV/atom): -5.6308

```
data_H12OsC4NO4F
_chemical_formula_sum 'H48 Os4 C16 N4 O16 F4'
_cell_length_a 7.3900
_cell_length_b 11.6806
_cell_length_c 11.2634
_cell_angle_alpha 90.00
_cell_angle_beta 90.00
_cell_angle_gamma 90.00
_symmetry_space_group_name_H-M 'A e m 2'
_symmetry_Int_Tables_number 39
loop_
_symmetry_equiv_pos_as_xyz
'x,y,z'
'-x,-y,z'
'-x,y+1/2,z'
'x,-y+1/2,z'
'x,y+1/2,z+1/2'
'-x,-y+1/2,z+1/2'
'-x,y,z+1/2'
'x,-y,z+1/2'
loop_
_atom_site_label
_atom_site_type_symbol
_atom_site_fract_x
_atom_site_fract_y
_atom_site_fract_z
_atom_site_occupancy
H1 H 0.0035 0.1293 0.2318 1
H2 H 0.0629 0.1255 0.4947 1
H3 H 0.1640 0.1475 0.8468 1
H4 H 0.1956 0.0406 0.7343 1
H5 H 0.1998 0.0026 0.0000 1
H6 H 0.2361 0.1012 0.3846 1
Os1 Os 0.4256 0.2500 0.0985 1
C1 C 0.0959 0.0860 0.7885 1
C2 C 0.1351 0.0608 0.4422 1
N1 N 0.0000 0.0000 0.3650 1
O1 O 0.3429 0.2500 0.6281 1
O2 O 0.3641 0.1222 0.1674 1
O3 O 0.4314 0.2500 0.9439 1
F1 F 0.1393 0.2500 0.0625 1
```